DFT (PBE+U) results for a geometry-optimized FePPdO2 structure.

Computed properties:
Density of states at the Fermi level = 4.452 states/eV/f.u.
Uncorrected energy = -4.880 eV per atom
Calculated volume = 75 Å³/cell
ΔE to the lowest computed polymorph = 457 meV per atom

a = 3.913 Å, b = 3.913 Å, c = 4.911 Å
α = 90.00°, β = 90.00°, γ = 90.00°
Atoms (fractional coordinates):
O (0.500, 0.000, 0.000)
O (0.000, 0.500, 0.000)
Fe (0.500, 0.500, 0.500)
P (0.000, 0.000, 0.500)
Pd (0.000, 0.000, 0.000)